Here is a relaxed PmScBiTe crystal from Alexandria. Energies are from PBE-GGA.

Cell lengths 5.2384, 5.2384, 11.5553 Å; angles 76.90, 76.90, 60.00 degrees
Element x y z (fractional)
Pm (0.6099, 0.6099, 0.1704)
Pm (0.3901, 0.3901, 0.8296)
Bi (0.1167, 0.1167, 0.6500)
Bi (0.8833, 0.8833, 0.3500)
Sc (0.2060, 0.2060, 0.3821)
Sc (0.7940, 0.7940, 0.6179)
Te (0.7046, 0.7046, 0.8861)
Te (0.2954, 0.2954, 0.1139)

## Properties
space group: No. 166


Here is a relaxed InHgMo2C crystal from Alexandria. Energies are from PBE-GGA.

Cell lengths 5.4692, 5.4424, 5.4692 Å; angles 90.00, 90.00, 90.00 degrees
Element x y z (fractional)
In (0.0000, 0.0000, 0.0000)
Hg (0.0000, 0.5000, 0.0000)
C (0.5000, 0.5000, 0.5000)
Mo (0.5000, 0.0000, 0.0000)
Mo (0.0000, 0.0000, 0.5000)

## Properties
formation energy from the elements: 1503.8 kJ/mol of formula units
space group: No. 123


Taking the records one at a time from the top gives density of states at the Fermi level values of 6.72; 4.08 states/eV per cell.
Taking the records one at a time from the top gives total moment values of 0.70; 5.95 μB/f.u..
Taking the records one at a time from the top gives electronic total energy values of -5.351; -3.668 eV/atom.